No. 1
This record from the Alexandria database describes a relaxed BaLa2ScTc crystal. The functional is PBE.

a b c (Å): 5.599 5.599 5.433
angles (deg): 90.00 90.00 90.00
Element x y z (fractional)
Ba 0.000 0.000 0.000
La 0.000 0.500 0.500
La 0.500 0.000 0.500
Sc 0.500 0.500 0.000
Tc 0.500 0.500 0.500

Summary:
The value obtained for the theoretical density is 5.4 g/cm3. The space group is P4/mmm, No. 123. The calculation puts the distance to the lowest polymorph of the same formula at 0 meV/atom. As for the formation energy: 5.1 kJ/mol of atoms.

No. 2
This record from the Alexandria database describes a relaxed BaLa2ScTc crystal. The functional is PBE.

a b c (Å): 5.657 5.657 6.036
angles (deg): 90.00 90.00 90.00
Element x y z (fractional)
Ba 0.000 0.000 0.000
La 0.000 0.500 0.500
La 0.500 0.000 0.500
Sc 0.000 0.000 0.500
Tc 0.500 0.500 0.000

Summary:
The value obtained for the theoretical density is 4.8 g/cm3. The space group is P4/mmm, No. 123. The calculation puts the distance to the lowest polymorph of the same formula at 1285 meV/atom. As for the formation energy: 129.0 kJ/mol of atoms.

No. 3
This record from the Alexandria database describes a relaxed BaLaScTl2 crystal. The functional is PBE.

a b c (Å): 5.638 5.638 5.678
angles (deg): 90.00 90.00 90.00
Element x y z (fractional)
Ba 0.000 0.000 0.000
La 0.500 0.500 0.000
Sc 0.000 0.000 0.500
Tl 0.000 0.500 0.500
Tl 0.500 0.000 0.500

Summary:
The value obtained for the theoretical density is 6.7 g/cm3. The space group is P4/mmm, No. 123. As for the formation energy: 27.6 kJ/mol of atoms.

No. 4
This record from the Alexandria database describes a relaxed Ba2LaScV crystal. The functional is PBE.

a b c (Å): 6.252 6.252 5.671
angles (deg): 90.00 90.00 90.00
Element x y z (fractional)
Ba 0.000 0.500 0.000
Ba 0.500 0.000 0.000
La 0.000 0.000 0.500
Sc 0.000 0.000 0.000
V 0.500 0.500 0.500

Summary:
The value obtained for the theoretical density is 3.8 g/cm3. The space group is P4/mmm, No. 123. As for the formation energy: 134.9 kJ/mol of atoms.

No. 5
This record from the Alexandria database describes a relaxed Ba2LaSe crystal. The functional is PBE.

a b c (Å): 11.459 11.459 11.459
angles (deg): 21.84 21.84 21.84
Element x y z (fractional)
Ba 0.228 0.228 0.228
Ba 0.772 0.772 0.772
La 0.000 0.000 0.000
Se 0.500 0.500 0.500

Summary:
The value obtained for the theoretical density is 4.5 g/cm3. Its raw formation energy is -744 meV/atom. The space group is R-3m, No. 166.

No. 6
This record from the Alexandria database describes a relaxed BaLa2Se2 crystal. The functional is PBE.

a b c (Å): 8.369 8.369 8.369
angles (deg): 148.16 148.16 45.65
Element x y z (fractional)
Ba 0.000 0.000 0.000
La 0.250 0.750 0.500
La 0.750 0.250 0.500
Se 0.388 0.388 0.000
Se 0.612 0.612 0.000

Summary:
The value obtained for the theoretical density is 5.9 g/cm3. Its raw formation energy is -1267 meV/atom. The space group is I4/mmm, No. 139.

No. 7
This record from the Alexandria database describes a relaxed Ba5LaSe6 crystal. The functional is PBE.

a b c (Å): 8.040 8.040 8.035
angles (deg): 99.62 99.62 119.97
Element x y z (fractional)
Ba 0.000 0.000 0.000
Ba 0.166 0.834 0.500
Ba 0.330 0.670 0.000
Ba 0.670 0.330 0.000
Ba 0.834 0.166 0.500
La 0.500 0.500 0.500
Se 0.106 0.421 0.262
Se 0.266 0.266 0.740
Se 0.421 0.106 0.262
Se 0.579 0.894 0.738
Se 0.734 0.734 0.260
Se 0.894 0.579 0.738

Summary:
The value obtained for the theoretical density is 5.1 g/cm3. Its raw formation energy is -2021 meV/atom. The space group is C2/m, No. 12.

No. 8
This record from the Alexandria database describes a relaxed BaLaSe crystal. The functional is PBE.

a b c (Å): 5.282 5.282 5.282
angles (deg): 60.00 60.00 60.00
Element x y z (fractional)
Ba 0.000 0.000 0.000
La 0.500 0.500 0.500
Se 0.750 0.750 0.750

Summary:
The value obtained for the theoretical density is 5.7 g/cm3. Its raw formation energy is -905 meV/atom. The space group is F-43m, No. 216. The calculation puts the distance to the lowest polymorph of the same formula at 233 meV/atom.

No. 9
This record from the Alexandria database describes a relaxed BaLa3Se crystal. The functional is PBE.

a b c (Å): 5.887 5.887 5.887
angles (deg): 90.00 90.00 90.00
Element x y z (fractional)
Ba 0.000 0.000 0.000
La 0.000 0.500 0.500
La 0.500 0.000 0.500
La 0.500 0.500 0.000
Se 0.500 0.500 0.500

Summary:
The value obtained for the theoretical density is 5.2 g/cm3. Its raw formation energy is -576 meV/atom. The space group is Pm-3m, No. 221. The calculation puts the distance to the lowest polymorph of the same formula at 0 meV/atom.

No. 10
This record from the Alexandria database describes a relaxed Ba2La2Se5 crystal. The functional is PBE.

a b c (Å): 8.997 8.997 8.373
angles (deg): 90.00 90.00 55.31
Element x y z (fractional)
Ba 0.199 0.199 0.000
Ba 0.301 0.301 0.500
Ba 0.699 0.699 0.500
Ba 0.801 0.801 0.000
La 0.160 0.840 0.661
La 0.340 0.660 0.161
La 0.660 0.340 0.839
La 0.840 0.160 0.339
Se 0.000 0.000 0.000
Se 0.026 0.723 0.350
Se 0.223 0.526 0.850
Se 0.277 0.974 0.350
Se 0.474 0.777 0.850
Se 0.500 0.500 0.500
Se 0.526 0.223 0.150
Se 0.723 0.026 0.650
Se 0.777 0.474 0.150
Se 0.974 0.277 0.650

Summary:
The value obtained for the theoretical density is 5.6 g/cm3. Its raw formation energy is -2042 meV/atom. The space group is Cmce, No. 64.

No. 11
This record from the Alexandria database describes a relaxed Ba5La3Se8 crystal. The functional is PBE.

a b c (Å): 9.134 9.134 9.134
angles (deg): 59.41 59.41 59.41
Element x y z (fractional)
Ba 0.000 0.000 0.000
Ba 0.000 0.500 0.500
Ba 0.500 0.000 0.500
Ba 0.500 0.500 0.000
Ba 0.500 0.500 0.500
La 0.000 0.000 0.500
La 0.000 0.500 0.000
La 0.500 0.000 0.000
Se 0.231 0.750 0.750
Se 0.242 0.242 0.242
Se 0.250 0.250 0.769
Se 0.250 0.769 0.250
Se 0.750 0.231 0.750
Se 0.750 0.750 0.231
Se 0.758 0.758 0.758
Se 0.769 0.250 0.250

Summary:
The value obtained for the theoretical density is 5.4 g/cm3. Its raw formation energy is -1996 meV/atom. The space group is R-3m, No. 166.

No. 12
This record from the Alexandria database describes a relaxed Ba2LaSe crystal. The functional is PBE.

a b c (Å): 5.903 5.903 5.903
angles (deg): 60.00 60.00 60.00
Element x y z (fractional)
Ba 0.000 0.000 0.000
Ba 0.250 0.250 0.250
La 0.750 0.750 0.750
Se 0.500 0.500 0.500

Summary:
The value obtained for the theoretical density is 5.6 g/cm3. Its raw formation energy is -168 meV/atom. The space group is F-43m, No. 216.

No. 13
This record from the Alexandria database describes a relaxed Ba2LaSe crystal. The functional is PBE.

a b c (Å): 6.846 6.846 7.374
angles (deg): 115.61 115.61 35.02
Element x y z (fractional)
Ba 0.000 0.000 0.000
Ba 0.172 0.172 0.655
La 0.357 0.357 0.351
Se 0.731 0.731 0.035

Summary:
The value obtained for the theoretical density is 4.6 g/cm3. Its raw formation energy is -716 meV/atom. The space group is Cm, No. 8.

No. 14
This record from the Alexandria database describes a relaxed Ba2LaSe crystal. The functional is PBE.

a b c (Å): 8.580 8.580 8.580
angles (deg): 96.70 96.70 140.04
Element x y z (fractional)
Ba 0.375 0.248 0.373
Ba 0.752 0.125 0.127
Ba 0.875 0.002 0.627
Ba 0.998 0.625 0.873
La 0.250 0.750 0.500
La 0.500 0.500 0.000
Se 0.000 0.000 0.000
Se 0.750 0.250 0.500

Summary:
The value obtained for the theoretical density is 4.3 g/cm3. Its raw formation energy is -653 meV/atom. The space group is I-42d, No. 122.